[1]
FeSbBr2 after structural relaxation, computed with PBE.

Cell lengths 3.641, 6.326, 9.433 Å; angles 90.00, 90.00, 90.00 degrees
Space group Cmm2 (No. 35)
Symmetry-distinct sites (fractional):
Fe 0.000 0.000 0.000
Sb 0.000 0.500 0.205
Br 0.000 0.000 0.448
Br 0.000 0.500 0.828

## Properties
**Magnetic moment**: 3.1 μB per formula unit
**Uncorrected formation energy**: 0.09 eV per atom
**Calculated total energy**: -31.13 eV per cell
**DOS at the Fermi energy**: 2.74 states/eV/f.u.


[2]
FeSbBr2 after structural relaxation, computed with PBE.

Cell lengths 3.388, 4.837, 14.422 Å; angles 90.00, 90.00, 90.00 degrees
Space group Immm (No. 71)
Symmetry-distinct sites (fractional):
Fe 0.000 0.000 0.000
Sb 0.000 0.000 0.500
Br 0.000 0.500 0.362

## Properties
**Magnetic moment**: 2.9 μB per formula unit
**Uncorrected formation energy**: 0.08 eV per atom
**Calculated total energy**: -31.19 eV per cell
**DOS at the Fermi energy**: 4.57 states/eV/f.u.


[3]
FeSbBr2 after structural relaxation, computed with PBE.

Cell lengths 3.6704, 3.6704, 26.6945 Å; angles 90.00, 90.00, 120.00 degrees
Space group R3m (No. 160, hexagonal axes)
Symmetry-distinct sites (fractional):
Fe 0.0000 0.0000 0.0000
Sb 0.0000 0.0000 0.2704
Br 0.0000 0.0000 0.5233
Br 0.0000 0.0000 0.7200

## Properties
**Magnetic moment**: 2.6 μB per formula unit
**Uncorrected formation energy**: -0.11 eV per atom
**Calculated total energy**: -49.12 eV per cell
**DOS at the Fermi energy**: 1.52 states/eV/f.u.


[4]
FeSbBr2 after structural relaxation, computed with PBE.

Cell lengths 3.194, 3.194, 11.410 Å; angles 90.00, 90.00, 90.00 degrees
Space group P4/mmm (No. 123)
Symmetry-distinct sites (fractional):
Fe 0.000 0.000 0.000
Sb 0.000 0.000 0.500
Br 0.500 0.500 0.142

## Properties
**Magnetic moment**: 4.0 μB per formula unit
**Uncorrected formation energy**: 0.16 eV per atom
**Calculated total energy**: -15.28 eV per cell
**DOS at the Fermi energy**: 3.03 states/eV/f.u.


[5]
FeSbBr2 after structural relaxation, computed with PBE.

Cell lengths 5.264, 5.264, 3.437 Å; angles 90.00, 90.00, 90.00 degrees
Space group P4/mmm (No. 123)
Symmetry-distinct sites (fractional):
Fe 0.000 0.000 0.000
Sb 0.500 0.500 0.000
Br 0.000 0.500 0.500

## Properties
**Magnetic moment**: 3.4 μB per formula unit
**Uncorrected formation energy**: 0.61 eV per atom
**Calculated total energy**: -13.50 eV per cell
**DOS at the Fermi energy**: 3.64 states/eV/f.u.


[6]
FeSbBr2 after structural relaxation, computed with PBE.

Cell lengths 12.491, 3.392, 5.821 Å; angles 90.00, 102.63, 90.00 degrees
Space group Cm (No. 8)
Symmetry-distinct sites (fractional):
Fe 0.000 0.000 0.000
Sb 0.360 0.000 0.731
Br 0.147 0.500 0.973
Br 0.451 0.000 0.319

## Properties
**Magnetic moment**: 3.0 μB per formula unit
**Uncorrected formation energy**: -0.07 eV per atom
**Calculated total energy**: -32.41 eV per cell
**DOS at the Fermi energy**: 1.93 states/eV/f.u.


[7]
FeSb2Br after structural relaxation, computed with PBE.

Cell lengths 4.212, 4.212, 5.631 Å; angles 90.00, 90.00, 90.00 degrees
Space group P4/mmm (No. 123)
Symmetry-distinct sites (fractional):
Fe 0.000 0.000 0.000
Sb 0.000 0.500 0.500
Br 0.500 0.500 0.000

## Properties
**Magnetic moment**: 2.9 μB per formula unit
**Uncorrected formation energy**: 0.63 eV per atom
**Calculated total energy**: -15.86 eV per cell
**DOS at the Fermi energy**: 6.08 states/eV/f.u.


[8]
FeSb2Br after structural relaxation, computed with PBE.

Cell lengths 3.7968, 3.7968, 22.5422 Å; angles 90.00, 90.00, 120.00 degrees
Space group R-3m (No. 166, hexagonal axes)
Symmetry-distinct sites (fractional):
Fe 0.0000 0.0000 0.0000
Sb 0.0000 0.0000 0.2758
Br 0.0000 0.0000 0.5000

## Properties
**Magnetic moment**: 0.0 μB per formula unit
**Uncorrected formation energy**: 0.07 eV per atom
**Calculated total energy**: -54.28 eV per cell
**DOS at the Fermi energy**: 2.11 states/eV/f.u.


[9]
FeSbBr2 after structural relaxation, computed with PBE.

Cell lengths 3.4922, 3.4922, 34.3682 Å; angles 90.00, 90.00, 120.00 degrees
Space group R-3m (No. 166, hexagonal axes)
Symmetry-distinct sites (fractional):
Fe 0.0000 0.0000 0.0000
Sb 0.0000 0.0000 0.5000
Br 0.0000 0.0000 0.2867

## Properties
**Magnetic moment**: 3.8 μB per formula unit
**Uncorrected formation energy**: 0.00 eV per atom
**Calculated total energy**: -47.83 eV per cell
**DOS at the Fermi energy**: 3.76 states/eV/f.u.


[10]
FeSbBr2 after structural relaxation, computed with PBE.

Cell lengths 6.482, 8.964, 4.836 Å; angles 90.00, 131.96, 90.00 degrees
Space group C2/m (No. 12)
Symmetry-distinct sites (fractional):
Fe 0.000 0.000 0.000
Sb 0.000 0.500 0.000
Br 0.250 0.250 0.500

## Properties
**Magnetic moment**: 3.5 μB per formula unit
**Uncorrected formation energy**: 0.39 eV per atom
**Calculated total energy**: -28.74 eV per cell
**DOS at the Fermi energy**: 4.64 states/eV/f.u.


[11]
FeSbBr after structural relaxation, computed with PBE.

Cell lengths 6.397, 6.397, 6.397 Å; angles 90.00, 90.00, 90.00 degrees
Space group F-43m (No. 216)
Symmetry-distinct sites (fractional):
Fe 0.000 0.000 0.000
Sb 0.250 0.250 0.250
Br 0.250 0.250 0.750

## Properties
**Magnetic moment**: 1.3 μB per formula unit
**Uncorrected formation energy**: 0.48 eV per atom
**Calculated total energy**: -51.26 eV per cell
**DOS at the Fermi energy**: 6.25 states/eV/f.u.


[12]
FeSb2Br after structural relaxation, computed with PBE.

Cell lengths 6.778, 3.921, 8.362 Å; angles 90.00, 105.78, 90.00 degrees
Space group C2/m (No. 12)
Symmetry-distinct sites (fractional):
Fe 0.000 0.000 0.000
Sb 0.114 0.500 0.846
Br 0.000 0.500 0.500

## Properties
**Magnetic moment**: 1.3 μB per formula unit
**Uncorrected formation energy**: 0.00 eV per atom
**Calculated total energy**: -36.76 eV per cell
**DOS at the Fermi energy**: 4.56 states/eV/f.u.


[13]
Fe2SbBr8 after structural relaxation, computed with PBE.

Cell lengths 13.482, 9.585, 6.710 Å; angles 90.00, 96.10, 90.00 degrees
Space group C2/m (No. 12)
Symmetry-distinct sites (fractional):
Fe 0.191 0.000 0.133
Sb 0.000 0.000 0.500
Br 0.096 0.192 0.264
Br 0.144 0.500 0.740
Br 0.180 0.000 0.772

## Properties
**Magnetic moment**: 9.0 μB per formula unit
**Uncorrected formation energy**: -0.49 eV per atom
**Calculated total energy**: -79.70 eV per cell
**DOS at the Fermi energy**: 5.12 states/eV/f.u.


[14]
Fe4SbBr after structural relaxation, computed with PBE.

Cell lengths 7.237, 7.237, 7.237 Å; angles 90.00, 90.00, 90.00 degrees
Space group F-43m (No. 216)
Symmetry-distinct sites (fractional):
Fe 0.124 0.124 0.124
Sb 0.250 0.250 0.750
Br 0.000 0.000 0.500

## Properties
**Magnetic moment**: 10.9 μB per formula unit
**Uncorrected formation energy**: 0.51 eV per atom
**Calculated total energy**: -146.36 eV per cell
**DOS at the Fermi energy**: 4.36 states/eV/f.u.


[15]
FeSb2Br after structural relaxation, computed with PBE.

Cell lengths 3.513, 5.350, 9.934 Å; angles 90.00, 90.00, 90.00 degrees
Space group Amm2 (No. 38)
Symmetry-distinct sites (fractional):
Fe 0.000 0.000 0.000
Sb 0.000 0.000 0.482
Sb 0.500 0.000 0.188
Br 0.500 0.000 0.815

## Properties
**Magnetic moment**: 1.9 μB per formula unit
**Uncorrected formation energy**: 0.15 eV per atom
**Calculated total energy**: -35.59 eV per cell
**DOS at the Fermi energy**: 2.95 states/eV/f.u.